A | The following is a DFT calculation (GGA-PBE) of a geometry-optimized AuBr3Cl structure.

- V (Å³ per atom) = 29.7
- crystal system = cubic
- spin magnetization (μB/f.u.) = 0.00

a b c (Å): 5.2926 5.2926 5.2926
angles (deg): 90.00 90.00 90.00
Closest atoms and distances in Å follow each position.
Space group Pm-3m (No. 221)
Unique sites:
Au 0.0000 0.0000 0.0000 x1  12 Br 3.74
Br 0.0000 0.5000 0.5000 x3  2 Cl 2.65
Cl 0.5000 0.5000 0.5000 x1  6 Br 2.65

B | The following is a DFT calculation (GGA-PBE) of a geometry-optimized AuBr3Cl structure.

- V (Å³ per atom) = 29.1
- crystal system = cubic
- spin magnetization (μB/f.u.) = 1.36

a b c (Å): 5.2617 5.2617 5.2617
angles (deg): 90.00 90.00 90.00
Closest atoms and distances in Å follow each position.
Space group Pm-3m (No. 221)
Unique sites:
Au 0.0000 0.0000 0.0000 x1  6 Br 2.63
Br 0.0000 0.0000 0.5000 x3  2 Au 2.63
Cl 0.5000 0.5000 0.5000 x1  12 Br 3.72

B is preferred energetically. Next in line: 365 meV per atom higher.

A | The following is a DFT calculation (GGA-PBE) of a geometry-optimized AuBr4Cl structure.

- V (Å³ per atom) = 26.4
- crystal system = cubic
- spin magnetization (μB/f.u.) = 0.00

a b c (Å): 8.5840 8.5840 8.5840
angles (deg): 90.00 90.00 90.00
Closest atoms and distances in Å follow each position.
Space group F-43m (No. 216)
Unique sites:
Au 0.0000 0.0000 0.0000 x4  12 Br 3.56, 4 Cl 3.72
Br 0.1252 0.1252 0.6252 x16  6 Br 3.03-3.04
Cl 0.2500 0.2500 0.2500 x4  12 Br 3.56, 4 Au 3.72

B | The following is a DFT calculation (GGA-PBE) of a geometry-optimized AuBr4Cl structure.

- V (Å³ per atom) = 41.2
- crystal system = monoclinic
- spin magnetization (μB/f.u.) = 0.00

a b c (Å): 19.3524 8.0248 6.4934
angles (deg): 90.00 101.64 90.00
Closest atoms and distances in Å follow each position.
Space group C2/m (No. 12)
Unique sites:
Au 0.0680 0.0000 0.2446 x4  4 Br 2.44-2.53
Br 0.0000 0.2154 0.0000 x4  2 Au 2.53
Br 0.1324 0.2147 0.4723 x8  1 Au 2.44
Br 0.2321 0.5000 0.7895 x4  1 Cl 2.16
Cl 0.1793 0.5000 0.0531 x4  1 Br 2.16

B is preferred energetically. Next in line: 820 meV per atom higher.